First-principles (PBE+U) data for a geometry-optimized Nd2VPbO6 structure, as listed in the Alexandria database.

Cell: 5.5308 5.5240 5.5240 Å, 90.00 90.00 90.00°
Closest atoms and distances in Å follow each position.
Atoms (fractional coordinates):
1 Nd 0.9736 0.5000 0.0000  4 O 2.34
2 Nd 0.9736 0.0000 0.5000  4 O 2.34
3 V 0.6031 0.0000 0.0000  5 O 1.77-1.94
4 Pb 0.5303 0.5000 0.5000  5 O 2.34-2.43
5 O 0.7442 0.2277 0.2277  1 V 1.94
6 O 0.7442 0.2277 0.7723  1 V 1.94
7 O 0.1066 0.5000 0.5000  1 Pb 2.34
8 O 0.2828 0.0000 0.0000  1 V 1.77
9 O 0.7442 0.7723 0.7723  1 V 1.94
10 O 0.7442 0.7723 0.2277  1 V 1.94

Calculated values
* symmetry: P4mm (99)
* density of states at the Fermi level: 0.000 states/eV/f.u.
* final energy: -7.37 eV per atom